## Ta3NiSe (PBEsol)

Data for a relaxed structure of Ta3NiSe.

Uncorrected formation energy = 0.91 eV per atom
Total energy = -8.62 eV per atom
M_tot = 0.00 μB per formula unit
Distance to the lowest polymorph of the same formula = 0.000 eV per atom

```
data_Ta3NiSe
_chemical_formula_sum 'Ta3 Ni1 Se1'
_space_group_name_H-M_alt 'P 1'
_space_group_IT_number 1
_space_group_name_Hall 'P 1'
_cell_length_a 4.574
_cell_length_b 4.574
_cell_length_c 4.574
_cell_angle_alpha 90.00
_cell_angle_beta 90.00
_cell_angle_gamma 90.00
loop_
_atom_site_label
_atom_site_fract_x
_atom_site_fract_y
_atom_site_fract_z
_atom_site_occupancy
Ta1 0.000 0.000 0.500 1
Ta2 0.000 0.500 0.000 1
Ta3 0.500 0.000 0.000 1
Ni1 0.000 0.000 0.000 1
Se1 0.500 0.500 0.500 1
```